An optimized crystal structure of Cr2ClO. Source: Alexandria via LeMat-Bulk, functional GGA+U.

a b c (Å): 4.3438 4.3438 4.3438
angles (deg): 60.00 60.00 60.00
Last column: nearest neighbours and their distance in Å.
Fractional positions:
1 Cr 0.2500 0.2500 0.2500  4 O 2.66, 4 Cl 2.66
2 Cr 0.7500 0.7500 0.7500  4 O 2.66, 4 Cl 2.66
3 Cl 0.0000 0.0000 0.0000  8 Cr 2.66
4 O 0.5000 0.5000 0.5000  8 Cr 2.66

Calculated values
symmetry	Fm-3m
energy above the most stable polymorph in this dataset	0.659	eV per atom